A geometry-optimized TiMnF2 structure. Source: Alexandria via LeMat-Bulk, functional PBE with a Hubbard U.

The value obtained for the uncorrected energy is -5.7324 eV per atom. The crystal system is trigonal. As for the total moment: 0.578 μB/f.u. Its relative energy among the computed polymorphs is 504 meV per atom.

a b c (Å): 2.7421 2.7421 25.2057
angles (deg): 90.00 90.00 120.00
Closest atoms and distances in Å follow each position.
Atoms (fractional coordinates):
Ti  0.0000  0.0000  0.0000  6 F 2.13
Ti  0.3333  0.6667  0.6667  6 F 2.13
Ti  0.6667  0.3333  0.3333  6 F 2.13
Mn  0.0000  0.0000  0.5000  6 Mn 2.74, 2 F 2.78
Mn  0.3333  0.6667  0.1667  6 Mn 2.74, 2 F 2.78
Mn  0.6667  0.3333  0.8333  6 Mn 2.74, 2 F 2.78
F  0.0000  0.0000  0.3899  3 Ti 2.13
F  0.0000  0.0000  0.6101  3 Ti 2.13
F  0.3333  0.6667  0.0565  3 Ti 2.13
F  0.3333  0.6667  0.2768  3 Ti 2.13
F  0.6667  0.3333  0.7232  3 Ti 2.13
F  0.6667  0.3333  0.9435  3 Ti 2.13